No. 1
Ca2MgTcH6: optimized geometry, GGA-PBE. Values from VASP.

As for the total moment: 0.100 μB/atom. The space group is P-3m1, No. 164. Its uncorrected energy is -39.74 eV/f.u.

```
&SYSTEM
  ibrav = 0, nat = 10, ntyp = 4
/
ATOMIC_SPECIES
Ca 40.08 Ca.upf
Mg 24.30 Mg.upf
Tc 98.00 Tc.upf
H 1.01 H.upf
ATOMIC_POSITIONS crystal
Ca 0.167 0.333 0.667
Ca 0.833 0.667 0.333
Mg 0.500 0.000 0.000
Tc 0.000 0.000 0.000
H 0.803 0.162 0.324
H 0.803 0.162 0.838
H 0.803 0.676 0.838
H 0.197 0.838 0.162
H 0.197 0.324 0.162
H 0.197 0.838 0.676
CELL_PARAMETERS angstrom
-1.783 4.998 -0.407
-4.793 -1.777 -0.833
1.601 0.964 4.830
```


No. 2
HfHgBi2: optimized geometry, GGA-PBE. Values from VASP.

As for the total moment: 0.000 μB/atom. As for the formation energy: 0.179 eV/atom. The space group is R3m, No. 160. Its uncorrected energy is -17.30 eV/f.u.

```
&SYSTEM
  ibrav = 0, nat = 4, ntyp = 3
/
ATOMIC_SPECIES
Hf 178.49 Hf.upf
Hg 200.59 Hg.upf
Bi 208.98 Bi.upf
ATOMIC_POSITIONS crystal
Hf 0.665 0.665 0.005
Hg 0.501 0.501 0.498
Bi 0.074 0.074 0.779
Bi 0.261 0.261 0.218
CELL_PARAMETERS angstrom
4.373 0.000 0.000
2.187 3.787 0.000
2.187 1.262 7.456
```


No. 3
AgSnBi: optimized geometry, GGA-PBE. Values from VASP.

As for the total moment: 0.000 μB/atom. As for the formation energy: 0.075 eV/atom. The energy above the most stable polymorph in this dataset is 27 meV/atom. The space group is I4mm, No. 107. Its uncorrected energy is -10.51 eV/f.u.

```
&SYSTEM
  ibrav = 0, nat = 3, ntyp = 3
/
ATOMIC_SPECIES
Bi 208.98 Bi.upf
Ag 107.87 Ag.upf
Sn 118.71 Sn.upf
ATOMIC_POSITIONS crystal
Bi 0.015 0.015 0.031
Ag 0.672 0.672 0.343
Sn 0.313 0.313 0.626
CELL_PARAMETERS angstrom
3.411 0.000 0.000
0.000 3.411 0.000
-1.705 -1.705 6.625
```


No. 4
Zn3SiRu: optimized geometry, GGA-PBE. Values from VASP.

As for the total moment: 0.000 μB/atom. The energy above the most stable polymorph in this dataset is 0 meV/atom. The space group is Pm-3m, No. 221. The value obtained for the formation energy without anion corrections is 818 meV/atom. Its uncorrected energy is -14.43 eV/f.u.

```
&SYSTEM
  ibrav = 0, nat = 5, ntyp = 3
/
ATOMIC_SPECIES
Ru 101.07 Ru.upf
Zn 65.41 Zn.upf
Si 28.09 Si.upf
ATOMIC_POSITIONS crystal
Ru 0.000 0.000 0.000
Zn 0.000 0.500 0.000
Zn 0.000 0.000 0.500
Zn 0.500 0.000 0.000
Si 0.500 0.500 0.500
CELL_PARAMETERS angstrom
4.739 0.000 0.000
0.000 4.739 0.000
0.000 0.000 4.739
```


Copy entry 1 word for word.
Ca2MgTcH6: optimized geometry, GGA-PBE. Values from VASP.

As for the total moment: 0.100 μB/atom. The space group is P-3m1, No. 164. Its uncorrected energy is -39.74 eV/f.u.

```
&SYSTEM
  ibrav = 0, nat = 10, ntyp = 4
/
ATOMIC_SPECIES
Ca 40.08 Ca.upf
Mg 24.30 Mg.upf
Tc 98.00 Tc.upf
H 1.01 H.upf
ATOMIC_POSITIONS crystal
Ca 0.167 0.333 0.667
Ca 0.833 0.667 0.333
Mg 0.500 0.000 0.000
Tc 0.000 0.000 0.000
H 0.803 0.162 0.324
H 0.803 0.162 0.838
H 0.803 0.676 0.838
H 0.197 0.838 0.162
H 0.197 0.324 0.162
H 0.197 0.838 0.676
CELL_PARAMETERS angstrom
-1.783 4.998 -0.407
-4.793 -1.777 -0.833
1.601 0.964 4.830
```


Q: Which value of uncorrected energy does entry 1 give?
A: -39.74 eV/f.u.